No. 1
This record from the Alexandria database describes Ca2TlAg after structural relaxation. The functional is PBE.

Calculated values
Electronic total energy in eV/atom: -2.52
Spin magnetization in μB/cell: 0.00
Formation energy from the elements in meV/atom: -214

Cell: 4.5773 4.5773 10.8041 Å, 90.00 90.00 90.00°
Space group I-4m2 (No. 119)
Unique sites:
1 Ca 0.0000 0.0000 0.0000
2 Ca 0.0000 0.5000 0.2500
3 Tl 0.0000 0.5000 0.7500
4 Ag 0.0000 0.0000 0.5000



No. 2
This record from the Alexandria database describes Mg2Si2SnPd5 after structural relaxation. The functional is PBE.

Calculated values
Electronic total energy in eV/atom: -5.00
Spin magnetization in μB/cell: 0.00
E_form (uncorrected) in meV per atom: -598

Cell: 9.6862 9.6862 3.5542 Å, 90.00 90.00 90.00°
Space group P4/mbm (No. 127)
Unique sites:
1 Mg 0.1720 0.3280 0.0000
2 Si 0.1259 0.6259 0.0000
3 Sn 0.0000 0.0000 0.0000
4 Pd 0.0000 0.5000 0.5000
5 Pd 0.0749 0.7899 0.5000



No. 3
This record from the Alexandria database describes BaSrMg2Cl8 after structural relaxation. The functional is PBE.

Calculated values
Electronic total energy in eV/atom: -3.87
Spin magnetization in μB/cell: 0.00
E_form (uncorrected) in meV per atom: -2072

Cell: 6.7260 6.7260 9.6676 Å, 90.00 90.00 120.00°
Space group P-3 (No. 147)
Unique sites:
1 Ba 0.0000 0.0000 0.0000
2 Sr 0.0000 0.0000 0.5000
3 Mg 0.3333 0.6667 0.7726
4 Cl 0.0147 0.3147 0.7087
5 Cl 0.3333 0.6667 0.0108



No. 4
This record from the Alexandria database describes Ce3Si2Os3 after structural relaxation. The functional is PBE.

Calculated values
Electronic total energy in eV/atom: -8.32
Spin magnetization in μB/cell: 0.00
E_form (uncorrected) in meV per atom: -530

Cell: 7.5208 14.9586 5.6156 Å, 90.00 90.00 90.00°
Space group Pnma (No. 62)
Unique sites:
1 Ce 0.0284 0.1083 0.1394
2 Ce 0.1776 0.2500 0.5991
3 Si 0.1145 0.6024 0.3638
4 Os 0.1760 0.7500 0.5684
5 Os 0.1787 0.0350 0.5899



No. 5
This record from the Alexandria database describes Ca2NiPt after structural relaxation. The functional is PBE.

Calculated values
Electronic total energy in eV/atom: -4.38
Spin magnetization in μB/cell: 0.00
Formation energy from the elements in meV/atom: -419

Cell: 3.4373 3.5411 6.8439 Å, 90.00 90.00 90.00°
Space group Pmmm (No. 47)
Unique sites:
1 Ca 0.0000 0.0000 0.2504
2 Ni 0.5000 0.5000 0.0000
3 Pt 0.5000 0.5000 0.5000



No. 6
This record from the Alexandria database describes RbCd3Rh after structural relaxation. The functional is PBE.

Calculated values
Electronic total energy in eV/atom: -2.24
Energy relative to the lowest polymorph listed for this composition in meV per atom: 77
Spin magnetization in μB/cell: 0.00
Formation energy from the elements in meV/atom: -31

Cell: 4.5970 7.0823 8.9192 Å, 86.27 89.98 71.08°
Space group P-1 (No. 2)
Unique sites:
1 Rb 0.1997 0.1011 0.3284
2 Cd 0.0000 0.5000 0.0000
3 Cd 0.0700 0.3597 0.6967
4 Cd 0.3281 0.8423 0.9861
5 Cd 0.5000 0.5000 0.5000
6 Rh 0.4974 0.5053 0.1795



No. 7
This record from the Alexandria database describes BeGa2AsBr after structural relaxation. The functional is PBE.

Calculated values
Electronic total energy in eV/atom: -2.11
Spin magnetization in μB/cell: 0.00
E_form (uncorrected) in meV per atom: 1112

Cell: 5.5147 5.5147 5.1658 Å, 90.00 90.00 90.00°
Space group P4/mmm (No. 123)
Unique sites:
1 Be 0.0000 0.0000 0.0000
2 Ga 0.0000 0.5000 0.5000
3 As 0.5000 0.5000 0.0000
4 Br 0.5000 0.5000 0.5000



No. 8
This record from the Alexandria database describes NaAl2SiSe6 after structural relaxation. The functional is PBE.

Calculated values
Electronic total energy in eV/atom: -4.13
Spin magnetization in μB/cell: 3.99
E_form (uncorrected) in meV per atom: -620

Cell: 13.2174 13.2834 7.5601 Å, 90.00 116.79 90.00°
Space group C2/c (No. 15)
Unique sites:
1 Na 0.0000 0.1232 0.2500
2 Al 0.1833 0.4191 0.1067
3 Si 0.0000 0.1783 0.7500
4 Se 0.1057 0.2511 0.0519
5 Se 0.1155 0.0703 0.6787
6 Se 0.1239 0.4464 0.3708



No. 9
This record from the Alexandria database describes La2ZrCl after structural relaxation. The functional is PBE.

Calculated values
Electronic total energy in eV/atom: -5.63
Energy relative to the lowest polymorph listed for this composition in meV per atom: 10
Spin magnetization in μB/cell: 0.00
E_form (uncorrected) in meV per atom: -569

Cell: 4.4724 5.4357 9.3640 Å, 90.00 90.00 90.00°
Space group Cmmm (No. 65)
Unique sites:
1 La 0.0000 0.0000 0.2477
2 Zr 0.0000 0.5000 0.5000
3 Cl 0.0000 0.5000 0.0000



No. 10
This record from the Alexandria database describes NiMoC2Br after structural relaxation. The functional is PBE.

Calculated values
Electronic total energy in eV/atom: -4.11
Spin magnetization in μB/cell: 1.88
E_form (uncorrected) in meV per atom: 3236

Cell: 3.8999 3.8999 4.8840 Å, 90.00 90.00 90.00°
Space group P4/mmm (No. 123)
Unique sites:
1 Ni 0.0000 0.0000 0.0000
2 Mo 0.5000 0.5000 0.0000
3 C 0.0000 0.5000 0.5000
4 Br 0.5000 0.5000 0.5000



No. 11
This record from the Alexandria database describes Fe3Ir4Rh12 after structural relaxation. The functional is PBE.

Calculated values
Electronic total energy in eV/atom: -7.16
Spin magnetization in μB/cell: 21.31
Formation energy from the elements in meV/atom: 684

Cell: 9.2071 9.2071 9.2071 Å, 90.00 90.00 90.00°
Space group Im-3 (No. 204)
Unique sites:
1 Fe 0.0000 0.0000 0.5000
2 Ir 0.2500 0.2500 0.2500
3 Rh 0.0000 0.2703 0.3591



No. 12
This record from the Alexandria database describes DyYAlHg after structural relaxation. The functional is PBE.

Calculated values
Electronic total energy in eV/atom: -4.23
Energy relative to the lowest polymorph listed for this composition in meV per atom: 0
Spin magnetization in μB/cell: 0.00
Formation energy from the elements in meV/atom: -448

Cell: 3.6207 3.6207 7.5312 Å, 90.00 90.00 90.00°
Space group P4mm (No. 99)
Unique sites:
1 Dy 0.0000 0.0000 0.0000
2 Y 0.0000 0.0000 0.5186
3 Al 0.5000 0.5000 0.7595
4 Hg 0.5000 0.5000 0.2573



No. 13
This record from the Alexandria database describes La7Dy2Th2 after structural relaxation. The functional is PBE.

Calculated values
Electronic total energy in eV/atom: -5.22
Energy relative to the lowest polymorph listed for this composition in meV per atom: 0
Spin magnetization in μB/cell: 0.00
Formation energy from the elements in meV/atom: 101

Cell: 7.0143 10.8214 10.2301 Å, 90.00 92.41 90.00°
Space group C2/m (No. 12)
Unique sites:
1 La 0.0000 0.0000 0.0000
2 La 0.1113 0.2976 0.8484
3 La 0.2059 0.5000 0.3006
4 Dy 0.0000 0.2736 0.5000
5 Th 0.1756 0.0000 0.3642



No. 14
This record from the Alexandria database describes ZrNb2OsF after structural relaxation. The functional is PBE.

Calculated values
Electronic total energy in eV/atom: -7.48
Spin magnetization in μB/cell: 0.00
E_form (uncorrected) in meV per atom: 880

Cell: 5.0723 5.0723 3.8958 Å, 90.00 90.00 90.00°
Space group P4/mmm (No. 123)
Unique sites:
1 Zr 0.0000 0.0000 0.0000
2 Nb 0.0000 0.5000 0.0000
3 Os 0.5000 0.5000 0.5000
4 F 0.0000 0.0000 0.5000



No. 15
This record from the Alexandria database describes MgIn2Pb4 after structural relaxation. The functional is PBE.

Calculated values
Electronic total energy in eV/atom: -2.81
Energy relative to the lowest polymorph listed for this composition in meV per atom: 219
Spin magnetization in μB/cell: 0.00
Formation energy from the elements in meV/atom: 322

Cell: 5.5520 5.5520 15.5835 Å, 90.00 90.00 90.00°
Space group I4/mmm (No. 139)
Unique sites:
1 Mg 0.0000 0.0000 0.0000
2 In 0.0000 0.0000 0.3825
3 Pb 0.0000 0.0000 0.1892
4 Pb 0.0000 0.5000 0.0000



No. 16
This record from the Alexandria database describes BePtSe after structural relaxation. The functional is PBE.

Calculated values
Electronic total energy in eV/atom: -4.23
Spin magnetization in μB/cell: 0.00
E_form (uncorrected) in meV per atom: 191

Cell: 3.6512 3.6512 9.8302 Å, 90.00 90.00 120.00°
Space group P6_3/mmc (No. 194)
Unique sites:
1 Be 0.3333 0.6667 0.2500
2 Pt 0.0000 0.0000 0.0000
3 Se 0.0000 0.0000 0.2500



No. 17
This record from the Alexandria database describes YReTe2Pt after structural relaxation. The functional is PBE.

Calculated values
Electronic total energy in eV/atom: -4.58
Spin magnetization in μB/cell: 3.89
E_form (uncorrected) in meV per atom: 1663

Cell: 5.6590 5.6590 5.3438 Å, 90.00 90.00 90.00°
Space group P4/mmm (No. 123)
Unique sites:
1 Y 0.0000 0.0000 0.0000
2 Re 0.0000 0.0000 0.5000
3 Te 0.0000 0.5000 0.0000
4 Pt 0.5000 0.5000 0.5000



No. 18
This record from the Alexandria database describes YH3Pd6 after structural relaxation. The functional is PBE.

Calculated values
Electronic total energy in eV/atom: -5.10
Spin magnetization in μB/cell: 0.00

Cell: 5.0630 5.3155 5.6159 Å, 103.06 95.12 114.19°
Space group P1 (No. 1)
Unique sites:
1 Y 0.0000 0.0000 0.0000
2 H 0.4017 0.5217 0.8017
3 H 0.6993 0.9371 0.3977
4 H 0.7782 0.3668 0.2287
5 Pd 0.0168 0.2901 0.6168
6 Pd 0.3599 0.6863 0.1072
7 Pd 0.4794 0.2401 0.4041
8 Pd 0.4873 0.7846 0.6227
9 Pd 0.6159 0.3280 0.9207
10 Pd 0.9551 0.7442 0.4044



No. 19
This record from the Alexandria database describes Er3SiP2Rh9 after structural relaxation. The functional is PBE.

Calculated values
Electronic total energy in eV/atom: -7.12
Spin magnetization in μB/cell: 0.00
E_form (uncorrected) in meV per atom: -719

Cell: 6.1024 6.1024 8.3700 Å, 90.00 90.00 120.00°
Space group P-3m1 (No. 164)
Unique sites:
1 Er 0.0000 0.0000 0.0000
2 Er 0.3333 0.6667 0.6880
3 Si 0.0000 0.0000 0.5000
4 P 0.3333 0.6667 0.1720
5 Rh 0.0000 0.5000 0.0000
6 Rh 0.1502 0.3005 0.2908



No. 20
This record from the Alexandria database describes MnSnIrS after structural relaxation. The functional is PBE.

Calculated values
Electronic total energy in eV/atom: -6.61
Energy relative to the lowest polymorph listed for this composition in meV per atom: 127
Spin magnetization in μB/cell: 5.35
E_form (uncorrected) in meV per atom: -70

Cell: 7.9228 3.0702 6.6970 Å, 90.00 117.26 90.00°
Space group Cm (No. 8)
Unique sites:
1 Mn 0.0000 0.0000 0.0000
2 Sn 0.3931 0.0000 0.5969
3 Ir 0.0871 0.5000 0.3645
4 S 0.3036 0.0000 0.0330



No. 21
This record from the Alexandria database describes K2MgFe after structural relaxation. The functional is PBE.

Calculated values
Electronic total energy in eV/atom: -2.47
Energy relative to the lowest polymorph listed for this composition in meV per atom: 0
Spin magnetization in μB/cell: 2.67
Formation energy from the elements in meV/atom: 589

Cell: 3.5539 3.8766 10.4197 Å, 90.00 90.00 90.00°
Space group Pmm2 (No. 25)
Unique sites:
1 K 0.0000 0.0000 0.0000
2 K 0.5000 0.5000 0.3999
3 Mg 0.0000 0.0000 0.6682
4 Fe 0.5000 0.5000 0.7479



No. 22
This record from the Alexandria database describes Pr2Dy3Th2 after structural relaxation. The functional is PBE.

Calculated values
Electronic total energy in eV/atom: -5.41
Spin magnetization in μB/cell: 0.00
Formation energy from the elements in meV/atom: 49

Cell: 3.6099 6.2520 10.7326 Å, 84.43 89.97 73.29°
Space group P-1 (No. 2)
Unique sites:
1 Pr 0.2144 0.0711 0.3479
2 Dy 0.3586 0.7834 0.9352
3 Dy 0.5000 0.5000 0.5000
4 Th 0.0669 0.3668 0.7851



No. 23
This record from the Alexandria database describes HfSc2Mn after structural relaxation. The functional is PBE.

Calculated values
Electronic total energy in eV/atom: -7.40
Energy relative to the lowest polymorph listed for this composition in meV per atom: 431
Spin magnetization in μB/cell: 0.03
Formation energy from the elements in meV/atom: 545

Cell: 3.0812 3.0812 29.1441 Å, 90.00 90.00 120.00°
Space group R-3m (No. 166, hexagonal axes)
Unique sites:
1 Hf 0.0000 0.0000 0.0000
2 Sc 0.0000 0.0000 0.4230
3 Mn 0.0000 0.0000 0.5000